Crystalline Nd4Te5Se2 at its relaxed geometry, computed with PBE.

Uncorrected formation energy: -1.29 eV/atom
D(E_F): 0.060 states/eV per atom
Total DFT energy (no corrections): -5.084 eV per atom
Space group: C2/m

Geometry as POSCAR:
```
Nd4Te5Se2
1.0
10.907 -2.182 0.000
10.907 2.182 0.000
-3.133 0.000 7.858
Nd Te Se
4 5 2
Cartesian
-0.612 0.000 1.901
3.725 0.000 6.110
14.957 0.000 1.748
19.295 0.000 5.957
2.261 0.000 3.268
0.714 0.000 7.212
9.341 0.000 3.929
17.968 0.000 0.646
16.422 0.000 4.590
6.491 0.000 7.857
12.191 0.000 0.001
```